w.
{
  "formula": "TaTlCd3",
  "functional": "GGA-PBE",
  "state": "optimized geometry",
  "spacegroup": "Pm-3m, No. 221",
  "total_magnetization_mub_per_atom": 0.458,
  "n_ef_per_ev_atom": 1.099,
  "cell": [[5.5132, 0.0000, 0.0000], [0.0000, 5.5132, 0.0000], [0.0000, 0.0000, 5.5132]],
  "species": ["Tl", "Cd", "Cd", "Cd", "Ta"],
  "frac_coords": [[0.5000, 0.5000, 0.5000], [0.0000, 0.5000, 0.0000], [0.0000, 0.0000, 0.5000], [0.5000, 0.0000, 0.0000], [0.0000, 0.0000, 0.0000]]
}

=====

x.
{
  "formula": "TaTlCd3",
  "functional": "GGA-PBE",
  "state": "optimized geometry",
  "spacegroup": "Pm-3m, No. 221",
  "total_magnetization_mub_per_atom": 0.674,
  "n_ef_per_ev_atom": 1.531,
  "cell": [[5.4146, 0.0000, 0.0000], [0.0000, 5.4146, 0.0000], [0.0000, 0.0000, 5.4146]],
  "species": ["Tl", "Cd", "Cd", "Cd", "Ta"],
  "frac_coords": [[0.0000, 0.0000, 0.0000], [0.0000, 0.5000, 0.0000], [0.0000, 0.0000, 0.5000], [0.5000, 0.0000, 0.0000], [0.5000, 0.5000, 0.5000]]
}

=====

What is the stability order? It is w, x, from most stable to least stable.